DFT (GGA-PBE) results for an optimized crystal structure of Ac3Pr2Ho2.

Lattice parameters (Å, degrees): 5.671 25.258 3.749 90.00 90.00 90.00
Space group Cmmm (No. 65)
Asymmetric unit:
Ac (0.000, 0.000, 0.000) [2 per cell]
Ac (0.000, 0.155, 0.000) [4 per cell]
Pr (0.000, 0.426, 0.500) [4 per cell]
Ho (0.000, 0.285, 0.500) [4 per cell]

Values from the calculation:
ΔH_f (0 K) = 0.051 eV per atom
Total magnetization = 0.0 Bohr magnetons per cell
Theoretical density = 8.0 g/cm3

=====

DFT (GGA-PBE) results for an optimized crystal structure of AcPr3Ho3.

Lattice parameters (Å, degrees): 9.8331 9.8331 5.9107 90.00 90.00 120.00
Space group P6_3/m (No. 176)
Asymmetric unit:
Ac (0.3333, 0.6667, 0.2500) [2 per cell]
Pr (0.0940, 0.4684, 0.7500) [6 per cell]
Ho (0.0425, 0.2277, 0.2500) [6 per cell]

Values from the calculation:
ΔH_f (0 K) = 0.042 eV per atom
Polymorph energy (0 for the lowest one) = 9 meV per atom
Total magnetization = 0.0 Bohr magnetons per cell
Theoretical density = 7.7 g/cm3

=====

DFT (GGA-PBE) results for an optimized crystal structure of AcPr2Ho7.

Lattice parameters (Å, degrees): 6.217 7.210 8.089 76.81 75.19 73.82
Space group P-1 (No. 2)
Asymmetric unit:
Ac (0.000, 0.000, 0.000) [1 per cell]
Pr (0.204, 0.795, 0.598) [2 per cell]
Ho (0.000, 0.500, 0.000) [1 per cell]
Ho (0.200, 0.303, 0.598) [2 per cell]
Ho (0.400, 0.103, 0.202) [2 per cell]
Ho (0.404, 0.596, 0.199) [2 per cell]

Values from the calculation:
ΔH_f (0 K) = 0.034 eV per atom
Polymorph energy (0 for the lowest one) = 0 meV per atom
Total magnetization = 0.0 Bohr magnetons per cell
Theoretical density = 8.3 g/cm3

=====

DFT (GGA-PBE) results for an optimized crystal structure of Ac5PrHo2.

Lattice parameters (Å, degrees): 7.656 15.308 5.450 90.00 90.00 90.00
Space group Pbam (No. 55)
Asymmetric unit:
Ac (0.000, 0.000, 0.000) [2 per cell]
Ac (0.006, 0.252, 0.000) [4 per cell]
Ac (0.244, 0.622, 0.500) [4 per cell]
Pr (0.000, 0.500, 0.000) [2 per cell]
Ho (0.247, 0.876, 0.500) [4 per cell]

Values from the calculation:
ΔH_f (0 K) = 0.038 eV per atom
Total magnetization = 0.0 Bohr magnetons per cell
Theoretical density = 8.3 g/cm3

=====

DFT (GGA-PBE) results for an optimized crystal structure of AcPr2Ho6.

Lattice parameters (Å, degrees): 11.193 6.794 8.872 90.00 109.67 90.00
Space group C2/m (No. 12)
Asymmetric unit:
Ac (0.000, 0.000, 0.000) [2 per cell]
Pr (0.243, 0.000, 0.798) [4 per cell]
Ho (0.099, 0.238, 0.403) [8 per cell]
Ho (0.173, 0.500, 0.763) [4 per cell]

Values from the calculation:
ΔH_f (0 K) = 0.183 eV per atom
Polymorph energy (0 for the lowest one) = 0 meV per atom
Total magnetization = 0.0 Bohr magnetons per cell
Theoretical density = 7.8 g/cm3

=====

DFT (GGA-PBE) results for an optimized crystal structure of Ac6Pr4Ho.

Lattice parameters (Å, degrees): 6.828 6.828 20.699 90.00 90.00 90.00
Space group I-42m (No. 121)
Asymmetric unit:
Ac (0.000, 0.500, 0.000) [4 per cell]
Ac (0.199, 0.199, 0.311) [8 per cell]
Pr (0.192, 0.192, 0.135) [8 per cell]
Ho (0.000, 0.000, 0.000) [2 per cell]

Values from the calculation:
ΔH_f (0 K) = 0.302 eV per atom
Total magnetization = 0.0 Bohr magnetons per cell
Theoretical density = 7.2 g/cm3

=====

DFT (GGA-PBE) results for an optimized crystal structure of Ac7Pr3Ho2.

Lattice parameters (Å, degrees): 6.964 3.777 18.601 90.00 96.17 90.00
Space group P2/m (No. 10)
Asymmetric unit:
Ac (0.000, 0.000, 0.000) [1 per cell]
Ac (0.227, 0.500, 0.176) [2 per cell]
Ac (0.253, 0.500, 0.494) [2 per cell]
Ac (0.273, 0.000, 0.828) [2 per cell]
Pr (0.462, 0.000, 0.341) [2 per cell]
Pr (0.500, 0.500, 0.000) [1 per cell]
Ho (0.059, 0.500, 0.669) [2 per cell]

Values from the calculation:
ΔH_f (0 K) = 0.111 eV per atom
Total magnetization = 0.0 Bohr magnetons per cell
Theoretical density = 8.0 g/cm3

=====

DFT (GGA-PBE) results for an optimized crystal structure of AcPr4Ho2.

Lattice parameters (Å, degrees): 5.8453 5.8453 25.4749 90.00 90.00 120.00
Space group R-3m (No. 166, hexagonal axes)
Asymmetric unit:
Ac (0.0000, 0.0000, 0.0000) [3 per cell]
Pr (0.0000, 0.0000, 0.2682) [6 per cell]
Pr (0.0000, 0.0000, 0.4228) [6 per cell]
Ho (0.0000, 0.0000, 0.1387) [6 per cell]

Values from the calculation:
ΔH_f (0 K) = 0.120 eV per atom
Polymorph energy (0 for the lowest one) = 0 meV per atom
Total magnetization = 0.0 Bohr magnetons per cell
Theoretical density = 7.4 g/cm3

=====

DFT (GGA-PBE) results for an optimized crystal structure of Ac5Pr6Ho2.

Lattice parameters (Å, degrees): 12.096 22.111 3.823 90.00 90.00 90.00
Space group Pbam (No. 55)
Asymmetric unit:
Ac (0.000, 0.000, 0.000) [2 per cell]
Ac (0.065, 0.424, 0.000) [4 per cell]
Ac (0.146, 0.723, 0.000) [4 per cell]
Pr (0.082, 0.153, 0.000) [4 per cell]
Pr (0.165, 0.881, 0.500) [4 per cell]
Pr (0.225, 0.556, 0.500) [4 per cell]
Ho (0.115, 0.284, 0.500) [4 per cell]

Values from the calculation:
ΔH_f (0 K) = 0.071 eV per atom
Total magnetization = 0.0 Bohr magnetons per cell
Theoretical density = 7.5 g/cm3

=====

DFT (GGA-PBE) results for an optimized crystal structure of AcPr4Ho.

Lattice parameters (Å, degrees): 11.990 7.207 11.910 90.00 90.00 90.00
Space group Cmcm (No. 63)
Asymmetric unit:
Ac (0.000, 0.002, 0.250) [4 per cell]
Pr (0.000, 0.260, 0.000) [8 per cell]
Pr (0.250, 0.244, 0.750) [8 per cell]
Ho (0.000, 0.497, 0.750) [4 per cell]

Values from the calculation:
ΔH_f (0 K) = 0.492 eV per atom
Polymorph energy (0 for the lowest one) = 307 meV per atom
Total magnetization = 0.0 Bohr magnetons per cell
Theoretical density = 6.2 g/cm3

=====

DFT (GGA-PBE) results for an optimized crystal structure of Ac6PrHo2.

Lattice parameters (Å, degrees): 16.053 9.490 10.100 90.00 100.05 90.00
Space group C2/c (No. 15)
Asymmetric unit:
Ac (0.101, 0.198, 0.128) [8 per cell]
Ac (0.120, 0.434, 0.833) [8 per cell]
Ac (0.136, 0.220, 0.518) [8 per cell]
Pr (0.000, 0.100, 0.750) [4 per cell]
Ho (0.219, 0.077, 0.852) [8 per cell]

Values from the calculation:
ΔH_f (0 K) = 0.163 eV per atom
Total magnetization = 0.0 Bohr magnetons per cell
Theoretical density = 8.0 g/cm3

=====

DFT (GGA-PBE) results for an optimized crystal structure of Ac8Pr2Ho.

Lattice parameters (Å, degrees): 13.296 12.609 6.331 90.00 104.37 90.00
Space group C2/m (No. 12)
Asymmetric unit:
Ac (0.084, 0.000, 0.291) [4 per cell]
Ac (0.100, 0.258, 0.801) [8 per cell]
Ac (0.232, 0.000, 0.883) [4 per cell]
Pr (0.130, 0.500, 0.514) [4 per cell]
Ho (0.000, 0.500, 0.000) [2 per cell]

Values from the calculation:
ΔH_f (0 K) = 0.365 eV per atom
Polymorph energy (0 for the lowest one) = 330 meV per atom
Total magnetization = 0.0 Bohr magnetons per cell
Theoretical density = 7.3 g/cm3

=====

DFT (GGA-PBE) results for an optimized crystal structure of AcPr4Ho8.

Lattice parameters (Å, degrees): 11.1790 11.1790 13.6522 90.00 90.00 120.00
Space group R-3m (No. 166, hexagonal axes)
Asymmetric unit:
Ac (0.0000, 0.0000, 0.0000) [3 per cell]
Pr (0.0000, 0.0000, 0.5000) [3 per cell]
Pr (0.0000, 0.5000, 0.5000) [9 per cell]
Ho (0.0000, 0.0000, 0.2631) [6 per cell]
Ho (0.0171, 0.5085, 0.2450) [18 per cell]

Values from the calculation:
ΔH_f (0 K) = 0.533 eV per atom
Total magnetization = 7.3 Bohr magnetons per cell
Theoretical density = 7.1 g/cm3

=====

DFT (GGA-PBE) results for an optimized crystal structure of Ac2PrHo4.

Lattice parameters (Å, degrees): 3.658 37.622 3.666 90.00 90.00 90.00
Space group Cmmm (No. 65)
Asymmetric unit:
Ac (0.000, 0.204, 0.000) [4 per cell]
Pr (0.000, 0.500, 0.500) [2 per cell]
Ho (0.000, 0.067, 0.000) [4 per cell]
Ho (0.000, 0.369, 0.500) [4 per cell]

Values from the calculation:
ΔH_f (0 K) = 0.095 eV per atom
Total magnetization = 0.0 Bohr magnetons per cell
Theoretical density = 8.3 g/cm3

=====

DFT (GGA-PBE) results for an optimized crystal structure of Ac2Pr3Ho2.

Lattice parameters (Å, degrees): 17.721 5.563 5.951 90.00 109.52 90.00
Space group C2/m (No. 12)
Asymmetric unit:
Ac (0.110, 0.000, 0.109) [4 per cell]
Pr (0.000, 0.000, 0.500) [2 per cell]
Pr (0.237, 0.000, 0.736) [4 per cell]
Ho (0.110, 0.500, 0.610) [4 per cell]

Values from the calculation:
ΔH_f (0 K) = 0.285 eV per atom
Total magnetization = 0.0 Bohr magnetons per cell
Theoretical density = 7.2 g/cm3

=====

DFT (GGA-PBE) results for an optimized crystal structure of Ac2Pr4Ho.

Lattice parameters (Å, degrees): 5.765 5.765 18.438 90.00 90.00 90.00
Space group I4/mmm (No. 139)
Asymmetric unit:
Ac (0.000, 0.000, 0.127) [4 per cell]
Pr (0.000, 0.000, 0.324) [4 per cell]
Pr (0.000, 0.500, 0.000) [4 per cell]
Ho (0.000, 0.000, 0.500) [2 per cell]

Values from the calculation:
ΔH_f (0 K) = 0.559 eV per atom
Polymorph energy (0 for the lowest one) = 525 meV per atom
Total magnetization = 1.5 Bohr magnetons per cell
Theoretical density = 6.4 g/cm3

=====

DFT (GGA-PBE) results for an optimized crystal structure of Ac4PrHo.

Lattice parameters (Å, degrees): 5.536 16.248 5.488 90.00 90.00 90.00
Space group Cmmm (No. 65)
Asymmetric unit:
Ac (0.000, 0.161, 0.000) [4 per cell]
Ac (0.000, 0.338, 0.500) [4 per cell]
Pr (0.000, 0.500, 0.000) [2 per cell]
Ho (0.000, 0.000, 0.500) [2 per cell]

Values from the calculation:
ΔH_f (0 K) = 0.040 eV per atom
Polymorph energy (0 for the lowest one) = 0 meV per atom
Total magnetization = 0.0 Bohr magnetons per cell
Theoretical density = 8.2 g/cm3

=====

DFT (GGA-PBE) results for an optimized crystal structure of AcPr3Ho3.

Lattice parameters (Å, degrees): 8.205 10.995 11.033 92.94 94.47 98.52
Space group P1 (No. 1)
Asymmetric unit:
Ac (0.000, 0.000, 0.000) [1 per cell]
Ac (0.038, 0.815, 0.701) [1 per cell]
Ac (0.258, 0.742, 0.997) [1 per cell]
Ac (0.787, 0.074, 0.703) [1 per cell]
Pr (0.295, 0.564, 0.702) [1 per cell]
Pr (0.327, 0.389, 0.421) [1 per cell]
Pr (0.365, 0.211, 0.140) [1 per cell]
Pr (0.399, 0.037, 0.851) [1 per cell]
Pr (0.434, 0.852, 0.561) [1 per cell]
Pr (0.467, 0.672, 0.282) [1 per cell]
Pr (0.504, 0.489, 0.993) [1 per cell]
Pr (0.826, 0.890, 0.414) [1 per cell]
Pr (0.855, 0.706, 0.136) [1 per cell]
Pr (0.892, 0.525, 0.850) [1 per cell]
Pr (0.933, 0.358, 0.561) [1 per cell]
Pr (0.965, 0.177, 0.284) [1 per cell]
Ho (0.074, 0.635, 0.414) [1 per cell]
Ho (0.106, 0.453, 0.138) [1 per cell]
Ho (0.150, 0.285, 0.850) [1 per cell]
Ho (0.189, 0.109, 0.563) [1 per cell]
Ho (0.222, 0.927, 0.285) [1 per cell]
Ho (0.536, 0.319, 0.706) [1 per cell]
Ho (0.570, 0.141, 0.420) [1 per cell]
Ho (0.607, 0.963, 0.139) [1 per cell]
Ho (0.645, 0.778, 0.849) [1 per cell]
Ho (0.682, 0.601, 0.560) [1 per cell]
Ho (0.720, 0.424, 0.278) [1 per cell]
Ho (0.751, 0.251, 0.996) [1 per cell]

Values from the calculation:
ΔH_f (0 K) = 0.033 eV per atom
Polymorph energy (0 for the lowest one) = 0 meV per atom
Total magnetization = 0.0 Bohr magnetons per cell
Theoretical density = 7.8 g/cm3

=====

DFT (GGA-PBE) results for an optimized crystal structure of Ac3Pr5Ho2.

Lattice parameters (Å, degrees): 9.938 9.945 9.959 106.69 115.09 106.68
Space group P-1 (No. 2)
Asymmetric unit:
Ac (0.030, 0.349, 0.078) [2 per cell]
Ac (0.182, 0.451, 0.534) [2 per cell]
Ac (0.426, 0.950, 0.272) [2 per cell]
Pr (0.122, 0.754, 0.373) [2 per cell]
Pr (0.222, 0.149, 0.677) [2 per cell]
Pr (0.273, 0.851, 0.825) [2 per cell]
Pr (0.369, 0.247, 0.116) [2 per cell]
Pr (0.480, 0.652, 0.425) [2 per cell]
Ho (0.074, 0.050, 0.224) [2 per cell]
Ho (0.334, 0.548, 0.978) [2 per cell]

Values from the calculation:
ΔH_f (0 K) = 0.039 eV per atom
Total magnetization = 0.0 Bohr magnetons per cell
Theoretical density = 7.6 g/cm3

=====

DFT (GGA-PBE) results for an optimized crystal structure of Ac5PrHo4.

Lattice parameters (Å, degrees): 19.279 5.463 7.465 90.00 105.05 90.00
Space group C2/m (No. 12)
Asymmetric unit:
Ac (0.000, 0.000, 0.000) [2 per cell]
Ac (0.102, 0.500, 0.806) [4 per cell]
Ac (0.201, 0.000, 0.603) [4 per cell]
Pr (0.000, 0.000, 0.500) [2 per cell]
Ho (0.101, 0.500, 0.302) [4 per cell]
Ho (0.199, 0.000, 0.102) [4 per cell]

Values from the calculation:
ΔH_f (0 K) = 0.048 eV per atom
Total magnetization = 0.0 Bohr magnetons per cell
Theoretical density = 8.5 g/cm3